1.
## Al2CdAg (SCAN)

Data for a PBEsol-optimized structure of Al2CdAg.

abc: 4.7549 4.7549 5.1816
angles: 100.32 100.32 37.45
Element x y z (fractional)
Al (0.2451, 0.2451, 0.2355)
Al (0.7549, 0.7549, 0.7645)
Cd (0.0000, 0.0000, 0.5000)
Ag (0.5000, 0.5000, 0.0000)

Computed properties:
Uncorrected energy, Ha/atom: -0.7099
Energy relative to the elements, eV per atom: 0.004


2.
## AlCdAg2 (SCAN)

Data for a PBEsol-optimized structure of AlCdAg2.

abc: 5.3681 5.3681 5.3681
angles: 144.37 130.16 62.76
Element x y z (fractional)
Al (0.0000, 0.0000, 0.0000)
Cd (0.2559, 0.7559, 0.5000)
Ag (0.5146, 0.5146, 0.0000)
Ag (0.7680, 0.2680, 0.5000)

Computed properties:
Uncorrected energy, Ha/atom: -0.9286
Energy relative to the elements, eV per atom: -0.044


3.
## AlCdAg2 (SCAN)

Data for a PBEsol-optimized structure of AlCdAg2.

abc: 4.8159 4.8159 3.0046
angles: 90.00 90.00 102.70
Element x y z (fractional)
Al (0.0000, 0.0000, 0.0000)
Cd (0.5000, 0.5000, 0.0000)
Ag (0.0000, 0.5000, 0.5000)
Ag (0.5000, 0.0000, 0.5000)

Computed properties:
Uncorrected energy, Ha/atom: -0.9286
Energy relative to the elements, eV per atom: -0.045


4.
## AlCdAg2 (SCAN)

Data for a PBEsol-optimized structure of AlCdAg2.

abc: 4.5842 4.5842 3.2282
angles: 90.00 90.00 90.00
Element x y z (fractional)
Al (0.0000, 0.0000, 0.0000)
Cd (0.5000, 0.5000, 0.0000)
Ag (0.0000, 0.5000, 0.5000)
Ag (0.5000, 0.0000, 0.5000)

Computed properties:
Uncorrected energy, Ha/atom: -0.9289
Energy relative to the elements, eV per atom: -0.050


5.
## AlCdAg (SCAN)

Data for a PBEsol-optimized structure of AlCdAg.

abc: 6.5630 6.5630 6.5630
angles: 154.28 154.28 36.69
Element x y z (fractional)
Al (0.0000, 0.0000, 0.0000)
Cd (0.6763, 0.6763, 0.0000)
Ag (0.3513, 0.3513, 0.0000)

Computed properties:
Energy above the most stable polymorph in this dataset, eV/atom: 0.021
Uncorrected energy, Ha/atom: -0.8514
Energy relative to the elements, eV per atom: 0.009


6.
## AlCdAg2 (SCAN)

Data for a PBEsol-optimized structure of AlCdAg2.

abc: 3.0502 3.9701 5.6883
angles: 90.00 90.00 90.00
Element x y z (fractional)
Al (0.0000, 0.0000, 0.0000)
Cd (0.5000, 0.5000, 0.2806)
Ag (0.0000, 0.0000, 0.5233)
Ag (0.5000, 0.5000, 0.7843)

Computed properties:
Uncorrected energy, Ha/atom: -0.9284
Energy relative to the elements, eV per atom: -0.037


7.
## Al2CdAg (SCAN)

Data for a PBEsol-optimized structure of Al2CdAg.

abc: 2.8979 2.8979 8.2890
angles: 90.00 90.00 90.00
Element x y z (fractional)
Al (0.0000, 0.0000, 0.0000)
Al (0.5000, 0.5000, 0.2407)
Cd (0.0000, 0.0000, 0.5104)
Ag (0.5000, 0.5000, 0.7734)

Computed properties:
Uncorrected energy, Ha/atom: -0.7096
Energy relative to the elements, eV per atom: 0.011


8.
## AlCd2Ag (SCAN)

Data for a PBEsol-optimized structure of AlCd2Ag.

abc: 6.1059 6.1059 6.1059
angles: 152.57 132.95 55.32
Element x y z (fractional)
Al (0.0000, 0.0000, 0.0000)
Cd (0.4503, 0.4503, 0.0000)
Cd (0.7405, 0.2405, 0.5000)
Ag (0.2084, 0.7084, 0.5000)

Computed properties:
Uncorrected energy, Ha/atom: -0.9167
Energy relative to the elements, eV per atom: 0.042


9.
## AlCdAg2 (SCAN)

Data for a PBEsol-optimized structure of AlCdAg2.

abc: 5.3009 5.3009 5.3009
angles: 143.62 128.57 64.62
Element x y z (fractional)
Al (0.0000, 0.0000, 0.0000)
Cd (0.5000, 0.5000, 0.0000)
Ag (0.2352, 0.7352, 0.5000)
Ag (0.7648, 0.2648, 0.5000)

Computed properties:
Uncorrected energy, Ha/atom: -0.9279
Energy relative to the elements, eV per atom: -0.024


10.
## Al2CdAg (SCAN)

Data for a PBEsol-optimized structure of Al2CdAg.

abc: 2.8573 4.0363 6.0659
angles: 90.00 90.00 90.00
Element x y z (fractional)
Al (0.0000, 0.0000, 0.0000)
Al (0.5000, 0.5000, 0.2374)
Cd (0.0000, 0.0000, 0.5027)
Ag (0.5000, 0.5000, 0.7771)

Computed properties:
Uncorrected energy, Ha/atom: -0.7092
Energy relative to the elements, eV per atom: 0.023


11.
## AlCdAg2 (SCAN)

Data for a PBEsol-optimized structure of AlCdAg2.

abc: 2.8743 4.3417 5.6497
angles: 90.00 103.67 90.00
Element x y z (fractional)
Al (0.0000, 0.0000, 0.0000)
Cd (0.0000, 0.0000, 0.5000)
Ag (0.4116, 0.5000, 0.2357)
Ag (0.5884, 0.5000, 0.7643)

Computed properties:
Uncorrected energy, Ha/atom: -0.9282
Energy relative to the elements, eV per atom: -0.034


12.
## AlCd2Ag (SCAN)

Data for a PBEsol-optimized structure of AlCd2Ag.

abc: 9.7291 9.7291 9.7291
angles: 17.66 17.66 17.66
Element x y z (fractional)
Al (0.0000, 0.0000, 0.0000)
Cd (0.2484, 0.2484, 0.2484)
Cd (0.7516, 0.7516, 0.7516)
Ag (0.5000, 0.5000, 0.5000)

Computed properties:
Uncorrected energy, Ha/atom: -0.9168
Energy relative to the elements, eV per atom: 0.039


Question: Which formula does entry 4 have?
Answer: AlCdAg2


Question: What is the energy relative to the elements in the eighth record?
Answer: 0.042 eV per atom


Question: Number 10 is which compound?
Answer: Al2CdAg


Question: Among the records above, which one has the highest uncorrected energy?
Answer: number 10